Entry from Alexandria: crystalline BaLa2Y at its relaxed geometry (PBE).

- calculated formation energy (kJ/mol of formula units) = 175
- total magnetization (μB/f.u.) = 0.00
- volume (Å³/cell) = 311.8
- Fermi-level density of states (states/eV/atom) = 2.0561

Unit cell a=9.298 b=9.298 c=7.499 alpha=51.69 beta=51.69 gamma=90.00
Element x y z (fractional)
Y: 0.500 0.500 0.000
Y: 0.250 0.750 0.500
Ba: 0.000 0.000 0.000
Ba: 0.750 0.250 0.500
La: 0.623 0.125 0.250
La: 0.127 0.625 0.250
La: 0.375 0.377 0.750
La: 0.875 0.873 0.750


Entry from Alexandria: crystalline CeEr6Tm10 at its relaxed geometry (PBE).

- calculated formation energy (kJ/mol of formula units) = 247
- total magnetization (μB/f.u.) = 1.28
- volume (Å³/cell) = 525.2
- Fermi-level density of states (states/eV/atom) = 1.6183

Unit cell a=6.708 b=9.508 c=9.508 alpha=120.00 beta=90.00 gamma=90.00
Last column: magnetic moment on the atom in μB.
Element x y z (fractional)
Ce: 0.500 0.000 0.000  0.84
Er: 0.694 0.376 0.376  0.01
Er: 0.694 0.000 0.624  0.01
Er: 0.694 0.624 0.000  0.01
Er: 0.306 0.624 0.624  0.01
Er: 0.306 0.000 0.376  0.01
Er: 0.306 0.376 0.000  0.01
Tm: 0.820 0.724 0.724  0.01
Tm: 0.820 0.000 0.276  0.01
Tm: 0.820 0.276 0.000  0.01
Tm: 0.180 0.276 0.276  0.01
Tm: 0.180 0.000 0.724  0.01
Tm: 0.180 0.724 0.000  0.01
Tm: 0.500 0.333 0.667  0.01
Tm: 0.500 0.667 0.333  0.01
Tm: 0.000 0.667 0.333  0.01
Tm: 0.000 0.333 0.667  0.01


Entry from Alexandria: crystalline Tl2SnPbAu at its relaxed geometry (PBE).

- calculated formation energy (kJ/mol of formula units) = 33
- total magnetization (μB/f.u.) = 0.00
- volume (Å³/cell) = 301.0
- Fermi-level density of states (states/eV/atom) = 0.5186

Unit cell a=4.402 b=4.402 c=15.534 alpha=90.00 beta=90.00 gamma=90.00
Element x y z (fractional)
Tl: 0.000 0.500 0.734
Tl: 0.000 0.500 0.106
Tl: 0.500 0.000 0.894
Tl: 0.500 0.000 0.266
Sn: 0.000 0.000 0.500
Sn: 0.500 0.500 0.500
Pb: 0.500 0.000 0.661
Pb: 0.000 0.500 0.339
Au: 0.500 0.000 0.081
Au: 0.000 0.500 0.919


Entry from Alexandria: crystalline NdSm2Sb at its relaxed geometry (PBE).

- total magnetization (μB/f.u.) = 0.00
- volume (Å³/cell) = 252.2
- uncorrected formation energy (meV/atom) = -579
- Fermi-level density of states (states/eV/atom) = 1.2581

Unit cell a=4.660 b=4.620 c=11.945 alpha=90.00 beta=101.24 gamma=90.00
Element x y z (fractional)
Nd: 0.695 0.750 0.390
Nd: 0.305 0.250 0.610
Sm: 0.565 0.250 0.130
Sm: 0.435 0.750 0.870
Sm: 0.060 0.750 0.121
Sm: 0.940 0.250 0.879
Sb: 0.167 0.250 0.334
Sb: 0.833 0.750 0.666


Entry from Alexandria: crystalline Li3In at its relaxed geometry (PBE).

- calculated formation energy (kJ/mol of formula units) = -27
- total magnetization (μB/f.u.) = 0.00
- volume (Å³/cell) = 85.4
- Fermi-level density of states (states/eV/atom) = 0.3970

Unit cell a=9.267 b=9.267 c=9.267 alpha=20.50 beta=20.50 gamma=20.50
Element x y z (fractional)
In: 0.000 0.000 0.000
Li: 0.747 0.747 0.747
Li: 0.500 0.500 0.500
Li: 0.253 0.253 0.253


Entry from Alexandria: crystalline SrCaAc5 at its relaxed geometry (PBE).

- calculated formation energy (kJ/mol of formula units) = 76
- total magnetization (μB/f.u.) = 0.00
- volume (Å³/cell) = 650.5
- Fermi-level density of states (states/eV/atom) = 1.2060

Unit cell a=7.340 b=7.340 c=13.284 alpha=105.61 beta=105.61 gamma=96.46
Element x y z (fractional)
Sr: 0.000 0.000 0.000
Sr: 0.000 0.000 0.500
Ca: 0.501 0.499 0.750
Ca: 0.499 0.501 0.250
Ac: 0.389 0.025 0.839
Ac: 0.458 0.764 0.539
Ac: 0.025 0.389 0.339
Ac: 0.841 0.159 0.750
Ac: 0.236 0.542 0.961
Ac: 0.764 0.458 0.039
Ac: 0.159 0.841 0.250
Ac: 0.975 0.611 0.661
Ac: 0.542 0.236 0.461
Ac: 0.611 0.975 0.161


Entry from Alexandria: crystalline IrRu2Pb at its relaxed geometry (PBE).

- calculated formation energy (kJ/mol of formula units) = 169
- total magnetization (μB/f.u.) = 0.00
- volume (Å³/cell) = 64.6
- Fermi-level density of states (states/eV/atom) = 0.7832

Unit cell a=4.888 b=4.888 c=4.888 alpha=131.26 beta=131.26 gamma=71.40
Element x y z (fractional)
Ir: 0.500 0.500 0.000
Pb: 0.750 0.250 0.500
Ru: 0.000 0.000 0.000
Ru: 0.250 0.750 0.500


Entry from Alexandria: crystalline Be2CuHg at its relaxed geometry (PBE).

- calculated formation energy (kJ/mol of formula units) = 207
- total magnetization (μB/f.u.) = 0.00
- volume (Å³/cell) = 121.7
- Fermi-level density of states (states/eV/atom) = 0.4049

Unit cell a=3.958 b=3.958 c=8.254 alpha=76.13 beta=76.13 gamma=90.00
Element x y z (fractional)
Be: 0.485 0.125 0.250
Be: 0.265 0.625 0.250
Be: 0.375 0.515 0.750
Be: 0.875 0.735 0.750
Hg: 0.000 0.000 0.000
Hg: 0.750 0.250 0.500
Cu: 0.500 0.500 0.000
Cu: 0.250 0.750 0.500


Entry from Alexandria: crystalline Cu2ReCl at its relaxed geometry (PBE).

- total magnetization (μB/f.u.) = 0.17
- volume (Å³/cell) = 70.6
- uncorrected formation energy (meV/atom) = 507
- Fermi-level density of states (states/eV/atom) = 0.9476

Unit cell a=6.755 b=6.755 c=6.755 alpha=156.26 beta=145.25 gamma=42.52
Last column: magnetic moment on the atom in μB.
Element x y z (fractional)
Re: 0.479 0.479 0.000  0.12
Cu: 0.043 0.043 0.000  0.02
Cu: 0.655 0.155 0.500  0.01
Cl: 0.323 0.823 0.500  0.00


Entry from Alexandria: crystalline TmNbTc2 at its relaxed geometry (PBE).

- calculated formation energy (kJ/mol of formula units) = -62
- total magnetization (μB/f.u.) = 0.00
- volume (Å³/cell) = 71.2
- Fermi-level density of states (states/eV/atom) = 0.8772

Unit cell a=3.258 b=3.258 c=6.708 alpha=90.00 beta=90.00 gamma=90.00
Element x y z (fractional)
Nb: 0.500 0.500 0.000
Tm: 0.500 0.500 0.500
Tc: 0.000 0.000 0.776
Tc: 0.000 0.000 0.224


Entry from Alexandria: crystalline NdPtRh at its relaxed geometry (PBE).

- calculated formation energy (kJ/mol of formula units) = -135
- total magnetization (μB/f.u.) = 0.00
- volume (Å³/cell) = 61.4
- Fermi-level density of states (states/eV/atom) = 0.7601

Unit cell a=3.611 b=3.611 c=5.359 alpha=109.68 beta=109.68 gamma=90.00
Element x y z (fractional)
Nd: 0.947 0.947 0.895
Rh: 0.646 0.646 0.292
Pt: 0.257 0.257 0.513


Entry from Alexandria: crystalline CrMoN2 at its relaxed geometry (PBE).

- total magnetization (μB/f.u.) = 2.00
- volume (Å³/cell) = 36.4
- uncorrected formation energy (meV/atom) = 197
- Fermi-level density of states (states/eV/atom) = 0.3588

Unit cell a=3.719 b=3.719 c=3.719 alpha=60.00 beta=60.00 gamma=60.00
Last column: magnetic moment on the atom in μB.
Element x y z (fractional)
Cr: 0.000 0.000 0.000  2.12
Mo: 0.500 0.500 0.500  0.02
N: 0.250 0.250 0.250  -0.10
N: 0.750 0.750 0.750  -0.10


Q: Which formula does entry 4 have?
A: NdSm2Sb


Q: Look up the volume of the twelfth one.
A: 36.4 Å³/cell


Q: Look up the Fermi-level density of states of the sixth one.
A: 1.2060 states/eV/atom